Here is a geometry-optimized NdBe2ZnAu5 structure from Alexandria via LeMat-Bulk. Energies are from PBE.

Properties
Total moment: 0.00 μB/atom
Electronic total energy: -32.4 eV/f.u.
Formation energy from the elements: -276 meV/atom

Cell and atoms, written as extended XYZ:
```
9
Lattice="4.684 0.000 0.000 0.000 4.684 0.000 0.000 0.000 7.282" Properties=species:S:1:pos:R:3 pbc="T T T"
Nd 0.000 0.000 0.000
Be 2.342 2.342 2.422
Be 2.342 2.342 4.860
Zn 0.000 0.000 3.641
Au 0.000 2.342 2.131
Au 0.000 2.342 5.151
Au 2.342 0.000 2.131
Au 2.342 0.000 5.151
Au 2.342 2.342 0.000
```